Entry 1:
An optimized crystal structure of VHgPdC2. Source: the Alexandria database, functional GGA-PBE.

For the formation energy, the calculation gives 2874 meV/atom.

The space group is P4/mmm (No. 123) and the conventional cell measures 4.159, 4.159 and 5.046 Å, with angles of 90.00, 90.00 and 90.00 degrees. The inequivalent atoms are V at (0.000, 0.000, 0.000), Hg at (0.500, 0.500, 0.500), Pd at (0.500, 0.500, 0.000) and C at (0.000, 0.500, 0.500).

***

Entry 2:
An optimized crystal structure of YHgPd2C. Source: the Alexandria database, functional GGA-PBE.

For the formation energy, the calculation gives -48 meV/atom.

The space group is P4/mmm (No. 123) and the conventional cell measures 4.306, 4.306 and 4.764 Å, with angles of 90.00, 90.00 and 90.00 degrees. The inequivalent atoms are Y at (0.000, 0.000, 0.000), Hg at (0.500, 0.500, 0.000), Pd at (0.000, 0.500, 0.500) and C at (0.000, 0.000, 0.500).

***

Entry 3:
An optimized crystal structure of Pm4Hg2C. Source: the Alexandria database, functional GGA-PBE.

For the formation energy, the calculation gives -282 meV/atom. The value obtained for the polymorph energy (0 for the lowest one) is 0.000 eV/atom.

The space group is I4/mmm (No. 139) and the conventional cell measures 5.098, 5.098 and 15.116 Å, with angles of 90.00, 90.00 and 90.00 degrees. The inequivalent atoms are Pm at (0.000, 0.000, 0.167), Pm at (0.000, 0.500, 0.000), Hg at (0.000, 0.000, 0.371) and C at (0.000, 0.000, 0.000).

***

Entry 4:
An optimized crystal structure of Pm8HgC4. Source: the Alexandria database, functional GGA-PBE.

For the formation energy, the calculation gives -33 meV/atom.

The space group is F-43m (No. 216) and the conventional cell measures 11.108, 11.108 and 11.108 Å, with angles of 90.00, 90.00 and 90.00 degrees. The inequivalent atoms are Pm at (0.103, 0.103, 0.397), Pm at (0.138, 0.138, 0.862), Hg at (0.250, 0.250, 0.250) and C at (0.132, 0.132, 0.632).

***

Entry 5:
An optimized crystal structure of Pm3Hg2C. Source: the Alexandria database, functional GGA-PBE.

For the formation energy, the calculation gives -343 meV/atom.

The space group is Cmmm (No. 65) and the conventional cell measures 5.193, 15.809 and 3.626 Å, with angles of 90.00, 90.00 and 90.00 degrees. The inequivalent atoms are Pm at (0.000, 0.000, 0.000), Pm at (0.000, 0.386, 0.500), Hg at (0.000, 0.199, 0.000) and C at (0.000, 0.500, 0.000).

***

Entry 6:
An optimized crystal structure of Pm3HgC. Source: the Alexandria database, functional GGA-PBE.

For the formation energy, the calculation gives -240 meV/atom. The value obtained for the polymorph energy (0 for the lowest one) is 0.053 eV/atom.

The space group is Pm-3m (No. 221) and the conventional cell measures 5.060, 5.060 and 5.060 Å, with angles of 90.00, 90.00 and 90.00 degrees. The inequivalent atoms are Pm at (0.000, 0.000, 0.500), Hg at (0.500, 0.500, 0.500) and C at (0.000, 0.000, 0.000).

***

Entry 7:
An optimized crystal structure of Pm4Hg2C. Source: the Alexandria database, functional GGA-PBE.

For the formation energy, the calculation gives -202 meV/atom. The value obtained for the polymorph energy (0 for the lowest one) is 0.080 eV/atom.

The space group is P2_1/m (No. 11) and the conventional cell measures 6.621, 6.753 and 9.448 Å, with angles of 90.00, 109.79 and 90.00 degrees. The inequivalent atoms are Pm at (0.162, 0.250, 0.074), Pm at (0.229, 0.502, 0.726), Pm at (0.299, 0.750, 0.354), Hg at (0.217, 0.250, 0.423), Hg at (0.373, 0.750, 0.036) and C at (0.058, 0.250, 0.813).

***

Entry 8:
An optimized crystal structure of Pm6Hg2C. Source: the Alexandria database, functional GGA-PBE.

For the formation energy, the calculation gives -271 meV/atom. The value obtained for the polymorph energy (0 for the lowest one) is 0.000 eV/atom.

The space group is P2_1/c (No. 14) and the conventional cell measures 7.023, 7.266 and 12.368 Å, with angles of 90.00, 124.42 and 90.00 degrees. The inequivalent atoms are Pm at (0.150, 0.017, 0.241), Pm at (0.248, 0.722, 0.042), Pm at (0.326, 0.209, 0.045), Hg at (0.274, 0.047, 0.749) and C at (0.000, 0.000, 0.000).

***

Entry 9:
An optimized crystal structure of Pm4HgC2. Source: the Alexandria database, functional GGA-PBE.

For the formation energy, the calculation gives -156 meV/atom.

The space group is Cmcm (No. 63) and the conventional cell measures 3.813, 12.837 and 13.478 Å, with angles of 90.00, 90.00 and 90.00 degrees. The inequivalent atoms are Pm at (0.000, 0.000, 0.000), Pm at (0.000, 0.266, 0.102), Pm at (0.000, 0.420, 0.750), Hg at (0.000, 0.109, 0.750) and C at (0.000, 0.362, 0.560).

***

Entry 10:
An optimized crystal structure of Pm6HgC3. Source: the Alexandria database, functional GGA-PBE.

For the formation energy, the calculation gives -117 meV/atom.

The space group is P2_1/m (No. 11) and the conventional cell measures 11.287, 3.704 and 11.681 Å, with angles of 90.00, 102.91 and 90.00 degrees. The inequivalent atoms are Pm at (0.028, 0.250, 0.132), Pm at (0.113, 0.750, 0.451), Pm at (0.176, 0.250, 0.744), Pm at (0.282, 0.750, 0.016), Pm at (0.307, 0.250, 0.300), Pm at (0.428, 0.250, 0.596), Hg at (0.466, 0.750, 0.842), C at (0.031, 0.750, 0.646), C at (0.131, 0.250, 0.945) and C at (0.356, 0.750, 0.445).

***

Entry 11:
An optimized crystal structure of Pm3HgC. Source: the Alexandria database, functional GGA-PBE.

For the formation energy, the calculation gives -293 meV/atom. The value obtained for the polymorph energy (0 for the lowest one) is 0.000 eV/atom.

The space group is Pnma (No. 62) and the conventional cell measures 8.976, 3.737 and 15.279 Å, with angles of 90.00, 90.00 and 90.00 degrees. The inequivalent atoms are Pm at (0.025, 0.250, 0.098), Pm at (0.178, 0.250, 0.505), Pm at (0.215, 0.750, 0.303), Hg at (0.083, 0.750, 0.673) and C at (0.155, 0.250, 0.947).

***

Entry 12:
An optimized crystal structure of Pm6Hg2C. Source: the Alexandria database, functional GGA-PBE.

For the formation energy, the calculation gives -36 meV/atom. The value obtained for the polymorph energy (0 for the lowest one) is 0.235 eV/atom.

The space group is P4_2/mnm (No. 136) and the conventional cell measures 7.087, 7.087 and 11.674 Å, with angles of 90.00, 90.00 and 90.00 degrees. The inequivalent atoms are Pm at (0.191, 0.191, 0.150), Pm at (0.244, 0.756, 0.000), Hg at (0.000, 0.000, 0.359) and C at (0.000, 0.000, 0.000).

***

Please write out number 10 again, unchanged.
An optimized crystal structure of Pm6HgC3. Source: the Alexandria database, functional GGA-PBE.

For the formation energy, the calculation gives -117 meV/atom.

The space group is P2_1/m (No. 11) and the conventional cell measures 11.287, 3.704 and 11.681 Å, with angles of 90.00, 102.91 and 90.00 degrees. The inequivalent atoms are Pm at (0.028, 0.250, 0.132), Pm at (0.113, 0.750, 0.451), Pm at (0.176, 0.250, 0.744), Pm at (0.282, 0.750, 0.016), Pm at (0.307, 0.250, 0.300), Pm at (0.428, 0.250, 0.596), Hg at (0.466, 0.750, 0.842), C at (0.031, 0.750, 0.646), C at (0.131, 0.250, 0.945) and C at (0.356, 0.750, 0.445).

***

What did the fourth record say?
An optimized crystal structure of Pm8HgC4. Source: the Alexandria database, functional GGA-PBE.

For the formation energy, the calculation gives -33 meV/atom.

The space group is F-43m (No. 216) and the conventional cell measures 11.108, 11.108 and 11.108 Å, with angles of 90.00, 90.00 and 90.00 degrees. The inequivalent atoms are Pm at (0.103, 0.103, 0.397), Pm at (0.138, 0.138, 0.862), Hg at (0.250, 0.250, 0.250) and C at (0.132, 0.132, 0.632).